First-principles (PBE with a Hubbard U) data for a relaxed CsAg2MoF6 crystal, as listed in Alexandria.

Results
As for the total energy: -4.4961 eV per atom. The density of states at the Fermi level comes out at 0.00 states/eV per atom. The magnetization comes out at 6.000 μB/cell.

```
CsAg2MoF6
1.0
-5.015 -1.751 3.611
4.146 -1.364 5.097
-0.828 8.178 2.863
F Ag Cs Mo
12 4 2 2
Direct
0.201 0.124 0.498
0.882 0.692 0.173
0.883 0.700 0.833
0.618 0.192 0.327
0.701 0.376 0.998
0.118 0.308 0.827
0.382 0.808 0.673
0.383 0.800 0.333
0.617 0.200 0.667
0.117 0.300 0.167
0.799 0.876 0.502
0.299 0.624 0.002
0.001 0.002 0.727
0.499 0.502 0.773
0.501 0.498 0.227
0.999 0.998 0.273
0.500 0.000 0.000
0.000 0.500 0.500
0.500 0.000 0.500
0.000 0.500 0.000
```